Record 1
Here is ZrCu2Hg at its PBEsol-relaxed geometry from the Alexandria database. Energies are from meta-GGA SCAN.

a b c (Å): 3.217 3.217 6.281
angles (deg): 90.00 90.00 90.00
Positions (direct):
Cu1 0.000 0.000 0.753
Hg1 0.500 0.500 0.000
Cu2 0.000 0.000 0.247
Zr1 0.500 0.500 0.500

Output
Formation enthalpy at 0 K: -46.2 meV/atom
E_tot: -32.36 eV per atom



Record 2
Here is SrGe2Ru2 at its PBEsol-relaxed geometry from the Alexandria database. Energies are from meta-GGA SCAN.

a b c (Å): 4.282 4.282 5.926
angles (deg): 111.18 111.18 90.00
Positions (direct):
Sr1 0.000 0.000 0.000
Ru1 0.250 0.750 0.500
Ge1 0.638 0.638 0.277
Ge2 0.362 0.362 0.723
Ru2 0.750 0.250 0.500

Output
Formation enthalpy at 0 K: -608.7 meV/atom
E_tot: -26.63 eV per atom